Version w
Density functional theory data (PBE-GGA) for a relaxed BeHgSO crystal.

The structure belongs to space group Pca2_1 (No. 29); the cell edges are 5.3355, 9.5905 and 4.9578 Å and the angles 90.00°, 90.00° and 90.00°. The inequivalent atoms are Be at (0.1239, 0.0099, 0.0000), Hg at (0.0006, 0.6543, 0.0386), S at (0.0007, 0.3305, 0.0385) and O at (0.1250, 0.0118, 0.6715).

---

Version x
Density functional theory data (PBE-GGA) for a relaxed BeHgSO crystal.

The structure belongs to space group P2_12_12_1 (No. 19); the cell edges are 6.0513, 6.9566 and 6.9877 Å and the angles 90.00°, 90.00° and 90.00°. The inequivalent atoms are Be at (0.2449, 0.1003, 0.4831), Hg at (0.1869, 0.6306, 0.3976), S at (0.0932, 0.6441, 0.0399) and O at (0.1507, 0.0880, 0.9629).

---

Which structure is the most stable? The one labeled version w.

---

Version w
Density functional theory data (PBE-GGA) for a relaxed BeHgSO crystal.

The structure belongs to space group P4/nmm (No. 129, origin choice 2); the cell edges are 3.6361, 3.6361 and 10.1551 Å and the angles 90.00°, 90.00° and 90.00°. The inequivalent atoms are Be at (0.2500, 0.2500, 0.0824), Hg at (0.2500, 0.2500, 0.6294), S at (0.2500, 0.2500, 0.8807) and O at (0.2500, 0.7500, 0.5000).

---

Version x
Density functional theory data (PBE-GGA) for a relaxed BeHgSO crystal.

The structure belongs to space group Pbca (No. 61); the cell edges are 6.3833, 6.7987 and 11.7164 Å and the angles 90.00°, 90.00° and 90.00°. The inequivalent atoms are Be at (0.1007, 0.1762, 0.0672), Hg at (0.2162, 0.5643, 0.7985), S at (0.2192, 0.5947, 0.4879) and O at (0.1012, 0.2156, 0.1973).

---

Version y
Density functional theory data (PBE-GGA) for a relaxed BeHgSO crystal.

The structure belongs to space group P4/nmm (No. 129, origin choice 2); the cell edges are 3.8186, 3.8186 and 8.2920 Å and the angles 90.00°, 90.00° and 90.00°. The inequivalent atoms are Be at (0.2500, 0.2500, 0.1481), Hg at (0.2500, 0.2500, 0.6362), S at (0.2500, 0.7500, 0.0000) and O at (0.2500, 0.2500, 0.3306).

---

Which structure is the most stable? The one labeled version x.

---

Version w
Density functional theory data (PBE-GGA) for a relaxed BeHgSO crystal.

The structure belongs to space group P2_12_12_1 (No. 19); the cell edges are 5.0046, 7.1192 and 7.7161 Å and the angles 90.00°, 90.00° and 90.00°. The inequivalent atoms are Be at (0.0414, 0.2254, 0.0746), Hg at (0.0208, 0.5717, 0.8045), S at (0.1986, 0.1490, 0.3245) and O at (0.2480, 0.6849, 0.4610).

---

Version x
Density functional theory data (PBE-GGA) for a relaxed BeHgSO crystal.

The structure belongs to space group P4/nmm (No. 129, origin choice 2); the cell edges are 3.5820, 3.5820 and 8.6034 Å and the angles 90.00°, 90.00° and 90.00°. The inequivalent atoms are Be at (0.2500, 0.2500, 0.0237), Hg at (0.2500, 0.2500, 0.6665), S at (0.2500, 0.2500, 0.3139) and O at (0.2500, 0.7500, 0.0000).

---

Which structure is the most stable? The one labeled version w.

---

Version w
Density functional theory data (PBE-GGA) for a relaxed BeHgSO crystal.

The structure belongs to space group P4/nmm (No. 129, origin choice 2); the cell edges are 4.0168, 4.0168 and 7.8931 Å and the angles 90.00°, 90.00° and 90.00°. The inequivalent atoms are Be at (0.2500, 0.7500, 0.0000), Hg at (0.2500, 0.2500, 0.3296), S at (0.2500, 0.2500, 0.8800) and O at (0.2500, 0.2500, 0.6818).

---

Version x
Density functional theory data (PBE-GGA) for a relaxed BeHgSO crystal.

The structure belongs to space group Pca2_1 (No. 29); the cell edges are 6.1444, 6.9638 and 5.8400 Å and the angles 90.00°, 90.00° and 90.00°. The inequivalent atoms are Be at (0.0674, 0.1471, 0.0000), Hg at (0.0909, 0.6435, 0.9590), S at (0.1137, 0.0940, 0.6398) and O at (0.0393, 0.6557, 0.5568).

---

Which structure is the most stable? The one labeled version x.